Material: MgZrAgPd
Method: DFT, PBE-GGA
State: relaxed

## Properties
- ΔE_f: -391 meV per atom
- Symmetry: No. 216
- Crystal system: cubic

```
MgZrAgPd
1.0
4.712 0.000 0.000
2.356 4.081 0.000
2.356 1.360 3.848
Zr Mg Pd Ag
1 1 1 1
Direct
0.000 0.000 0.000
0.500 0.500 0.500
0.750 0.750 0.750
0.250 0.250 0.250
```


Material: Cr2SbCl
Method: DFT, PBE-GGA
State: relaxed

## Properties
- Formation energy (no corrections): 0.18 eV/atom
- Symmetry: No. 44
- Crystal system: orthorhombic

```
Cr2SbCl
1.0
-5.616 -4.520 -1.544
-4.937 -4.285 3.409
3.717 6.335 -0.625
Sb Cl Cr
1 1 2
Direct
0.453 0.453 0.000
0.700 0.200 0.500
0.044 0.044 0.000
0.303 0.803 0.500
```


Material: Pr2DyMg
Method: DFT, PBE-GGA
State: relaxed

## Properties
- ΔE_f: 85 meV per atom
- Symmetry: No. 38
- Crystal system: orthorhombic

```
Pr2DyMg
1.0
-1.088 1.545 -3.040
2.299 -1.939 -1.809
-8.332 -6.434 -0.288
Pr Dy Mg
2 1 1
Direct
0.500 0.457 0.915
0.500 0.687 0.374
0.000 0.310 0.620
0.000 0.071 0.142
```


Material: Ba8PdPt3
Method: DFT, PBE-GGA
State: relaxed

## Properties
- ΔE_f: -587 meV per atom
- Symmetry: No. 166
- Crystal system: trigonal

```
Ba8PdPt3
1.0
-1.674 -7.170 5.669
8.717 1.946 -2.580
-4.520 5.560 5.697
Ba Pd Pt
8 1 3
Direct
0.257 0.514 0.772
0.743 0.486 0.228
0.261 0.016 0.772
0.755 0.016 0.772
0.755 0.511 0.772
0.245 0.489 0.228
0.245 0.984 0.228
0.739 0.984 0.228
0.000 0.000 0.000
0.500 0.000 0.000
0.500 0.500 0.000
0.000 0.500 0.000
```


Material: PaTlSe2O8
Method: DFT, PBE-GGA
State: relaxed

## Properties
- Formation energy (no corrections): -1.36 eV/atom
- Symmetry: No. 164
- Crystal system: trigonal

```
PaTlSe2O8
1.0
6.063 0.000 0.000
-3.031 5.250 0.000
0.000 0.000 7.980
Pa Tl Se O
1 1 2 8
Direct
0.000 0.000 0.000
0.000 0.000 0.500
0.333 0.667 0.773
0.667 0.333 0.227
0.162 0.324 0.830
0.162 0.838 0.830
0.676 0.838 0.830
0.324 0.162 0.170
0.667 0.333 0.432
0.333 0.667 0.568
0.838 0.676 0.170
0.838 0.162 0.170
```


Material: ReHgCl
Method: DFT, PBE-GGA
State: relaxed

## Properties
- Formation energy (no corrections): 1.40 eV/atom
- Symmetry: No. 216
- Crystal system: cubic

```
ReHgCl
1.0
-4.339 1.396 0.846
-3.580 -2.373 -1.745
-2.727 -2.481 2.811
Cl Hg Re
1 1 1
Direct
0.000 0.000 0.000
0.500 0.500 0.500
0.750 0.750 0.750
```


Material: Tb2UFe3
Method: DFT, PBE-GGA
State: relaxed

## Properties
- ΔE_f: -24 meV per atom
- Symmetry: No. 8
- Crystal system: monoclinic

```
Tb2UFe3
1.0
-0.651 2.524 2.598
-5.980 1.490 -0.339
-2.930 -2.606 4.405
Tb U Fe
2 1 3
Direct
0.580 0.168 0.672
0.411 0.810 0.368
0.225 0.428 0.123
0.810 0.601 0.779
0.851 0.189 0.109
0.123 0.804 0.949
```


Material: BeAg
Method: DFT, PBE-GGA
State: relaxed

## Properties
- ΔE_f: 648 meV per atom
- Symmetry: No. 194
- Crystal system: hexagonal

```
BeAg
1.0
-1.045 3.861 0.887
-2.822 -2.614 -1.410
-1.007 -1.282 4.394
Be Ag
2 2
Direct
0.333 0.667 0.250
0.667 0.333 0.750
0.333 0.667 0.750
0.667 0.333 0.250
```


Material: Pr12Al3Cd
Method: DFT, PBE-GGA
State: relaxed

## Properties
- ΔE_f: -155 meV per atom
- Symmetry: No. 123
- Crystal system: tetragonal

```
Pr12Al3Cd
1.0
-3.861 2.223 2.178
1.527 -1.671 4.412
10.840 16.410 2.462
Pr Al Cd
12 3 1
Direct
0.500 0.500 0.000
0.500 0.500 0.252
0.500 0.500 0.500
0.500 0.500 0.748
0.500 0.000 0.129
0.500 0.000 0.376
0.500 0.000 0.624
0.500 0.000 0.871
0.000 0.500 0.129
0.000 0.500 0.376
0.000 0.500 0.624
0.000 0.500 0.871
0.000 0.000 0.251
0.000 0.000 0.500
0.000 0.000 0.749
0.000 0.000 0.000
```


Material: AcThHgC
Method: DFT, PBE-GGA
State: relaxed

## Properties
- ΔE_f: -225 meV per atom
- Symmetry: No. 8
- Crystal system: monoclinic

```
AcThHgC
1.0
-3.092 -1.528 1.727
3.404 -0.006 1.801
-0.850 8.371 1.599
Ac Th Hg C
1 1 1 1
Direct
0.508 0.152 0.676
0.085 0.940 0.041
0.959 0.378 0.352
0.326 0.561 0.902
```


Material: KCo2Sb
Method: DFT, PBE-GGA
State: relaxed

## Properties
- Formation energy (no corrections): 0.58 eV/atom
- Symmetry: No. 44
- Crystal system: orthorhombic

```
KCo2Sb
1.0
6.101 -0.019 0.020
2.792 5.425 -0.020
-3.535 -4.203 2.659
Co K Sb
2 1 1
Direct
0.985 0.985 0.000
0.821 0.321 0.500
0.496 0.496 0.000
0.198 0.698 0.500
```


Material: Al2CdGe2
Method: DFT, PBE-GGA
State: relaxed

## Properties
- ΔE_f: 152 meV per atom
- Symmetry: No. 139
- Crystal system: tetragonal

```
Al2CdGe2
1.0
4.117 0.000 0.000
0.000 4.117 0.000
2.059 2.059 6.077
Ge Al Cd
2 2 1
Direct
0.386 0.386 0.227
0.614 0.614 0.773
0.750 0.250 0.500
0.250 0.750 0.500
0.000 0.000 0.000
```


Material: ScNi2AsH
Method: DFT, PBE-GGA
State: relaxed

## Properties
- Symmetry: No. 63
- Crystal system: orthorhombic

```
ScNi2AsH
1.0
3.740 0.000 0.000
-1.870 4.895 0.000
0.000 0.000 6.705
Sc Ni As H
2 4 2 2
Direct
0.440 0.880 0.750
0.560 0.120 0.250
0.157 0.314 0.944
0.843 0.686 0.056
0.157 0.314 0.556
0.843 0.686 0.444
0.723 0.447 0.750
0.277 0.553 0.250
0.000 0.000 0.000
0.000 0.000 0.500
```


Material: Ti2MnBeHg
Method: DFT, PBE-GGA
State: relaxed

## Properties
- ΔE_f: 1528 meV per atom
- Symmetry: No. 123
- Crystal system: tetragonal

```
Ti2MnBeHg
1.0
5.001 0.000 0.000
0.000 4.876 0.000
0.000 0.000 5.001
Be Mn Hg Ti
1 1 1 2
Direct
0.500 0.500 0.500
0.000 0.500 0.000
0.000 0.000 0.000
0.000 0.000 0.500
0.500 0.000 0.000
```


Material: KGaSi
Method: DFT, PBE-GGA
State: relaxed

## Properties
- Formation energy (no corrections): -0.05 eV/atom
- Symmetry: No. 1
- Crystal system: triclinic

```
KGaSi
1.0
-2.740 4.841 2.421
-6.852 -0.893 -1.275
0.974 -2.902 2.893
K Si Ga
2 2 2
Direct
0.587 0.650 0.922
0.018 0.940 0.815
0.592 0.252 0.209
0.194 0.455 0.178
0.425 0.120 0.560
0.003 0.351 0.533
```


Material: SmB2C2
Method: DFT, PBE-GGA
State: relaxed

## Properties
- ΔE_f: -296 meV per atom
- Symmetry: No. 131
- Crystal system: tetragonal

```
SmB2C2
1.0
3.816 0.000 0.000
0.000 3.816 0.000
0.000 0.000 7.503
Sm B C
2 4 4
Direct
0.000 0.000 0.750
0.000 0.000 0.250
0.216 0.500 0.000
0.784 0.500 0.000
0.500 0.216 0.500
0.500 0.784 0.500
0.500 0.187 0.000
0.500 0.813 0.000
0.813 0.500 0.500
0.187 0.500 0.500
```


Material: TlIn4Te5
Method: DFT, PBE-GGA
State: relaxed

## Properties
- Formation energy (no corrections): -0.19 eV/atom
- Symmetry: No. 59
- Crystal system: orthorhombic

```
TlIn4Te5
1.0
-6.166 -1.959 -3.223
2.021 -8.040 1.020
-5.672 -0.046 10.881
Tl In Te
2 8 10
Direct
0.995 0.000 0.000
0.005 0.500 0.500
0.065 0.000 0.694
0.498 0.817 0.000
0.498 0.183 0.000
0.065 0.000 0.306
0.935 0.500 0.194
0.502 0.683 0.500
0.502 0.317 0.500
0.935 0.500 0.806
0.237 0.740 0.819
0.237 0.260 0.819
0.704 0.500 0.000
0.237 0.740 0.181
0.237 0.260 0.181
0.763 0.760 0.319
0.763 0.240 0.319
0.296 0.000 0.500
0.763 0.240 0.681
0.763 0.760 0.681
```


Material: CeGaAu3
Method: DFT, PBE-GGA
State: relaxed

## Properties
- ΔE_f: -564 meV per atom
- Symmetry: No. 62
- Crystal system: orthorhombic

```
CeGaAu3
1.0
4.920 0.000 0.000
0.000 9.125 0.000
0.000 0.000 9.237
Ce Ga Au
4 4 12
Direct
0.750 0.761 0.997
0.250 0.739 0.497
0.750 0.261 0.503
0.250 0.239 0.003
0.250 0.102 0.664
0.250 0.602 0.836
0.750 0.398 0.164
0.750 0.898 0.336
0.250 0.581 0.118
0.750 0.419 0.882
0.250 0.081 0.382
0.750 0.919 0.618
0.250 0.390 0.664
0.750 0.110 0.164
0.250 0.890 0.836
0.750 0.603 0.647
0.250 0.397 0.353
0.750 0.103 0.853
0.750 0.610 0.336
0.250 0.897 0.147
```


Material: K2Tl6CdHg
Method: DFT, PBE-GGA
State: relaxed

## Properties
- ΔE_f: -21 meV per atom
- Symmetry: No. 166
- Crystal system: trigonal

```
K2Tl6CdHg
1.0
7.325 0.000 0.000
3.662 6.343 0.000
3.662 2.114 15.230
K Tl Cd Hg
4 12 2 2
Direct
0.855 0.855 0.435
0.145 0.145 0.565
0.711 0.711 0.867
0.289 0.289 0.133
0.903 0.372 0.352
0.372 0.903 0.352
0.372 0.372 0.352
0.097 0.628 0.648
0.628 0.097 0.648
0.628 0.628 0.648
0.775 0.216 0.793
0.216 0.775 0.793
0.216 0.216 0.793
0.225 0.784 0.207
0.784 0.225 0.207
0.784 0.784 0.207
0.000 0.000 0.000
0.500 0.500 0.500
0.639 0.639 0.082
0.361 0.361 0.918
```


Material: Rb2ThReN4
Method: DFT, PBE-GGA
State: relaxed

## Properties
- Formation energy (no corrections): -0.49 eV/atom
- Symmetry: No. 31
- Crystal system: orthorhombic

```
Rb2ThReN4
1.0
6.276 0.000 0.000
0.000 7.970 0.000
0.000 0.000 7.404
Rb Th Re N
4 2 2 8
Direct
0.478 0.350 0.244
0.478 0.350 0.756
0.978 0.650 0.744
0.978 0.650 0.256
0.001 0.137 0.500
0.501 0.863 0.000
0.504 0.869 0.500
0.004 0.131 0.000
0.293 0.093 0.000
0.793 0.907 0.500
0.358 0.070 0.500
0.858 0.930 0.000
0.444 0.751 0.710
0.944 0.249 0.210
0.944 0.249 0.790
0.444 0.751 0.290
```


Total energy (computed, eV per atom): -4.938; -6.126; -3.854; -3.812; -6.235; -3.462; -7.680; -2.641; -4.498; -5.489; -4.282; -3.375; -5.811; -4.270; -3.228; -7.600; -3.093; -4.323; -1.782; -7.378